Material: K4Pa3TcN8
Method: DFT, GGA-PBE
State: optimized geometry

Summary:
**Crystal system**: trigonal
**Size of the total moment**: 2.0 μB per formula unit
**Formation energy without anion corrections**: -808 meV per atom

Lattice parameters (Å, degrees): 6.965 7.563 6.966 117.43 120.00 90.00
Positions (direct):
K 0.500 0.000 0.000
K 0.500 0.000 0.500
K 0.000 0.000 0.000
K 0.000 0.000 0.500
Pa 0.500 0.500 0.000
Pa 0.500 0.500 0.500
Pa 0.000 0.500 0.500
Tc 0.000 0.500 0.000
N 0.214 0.664 0.949
N 0.214 0.664 0.429
N 0.278 0.333 0.555
N 0.735 0.664 0.949
N 0.265 0.336 0.051
N 0.722 0.667 0.445
N 0.786 0.336 0.571
N 0.786 0.336 0.051